[1]
Material: ThSiTe
Method: DFT, GGA-PBE
State: optimized geometry

Output
Space group ... Cmcm
Formation energy (no corrections) ... -0.5871 eV/atom

Cell lengths 12.0373, 12.0373, 4.1517 Å; angles 90.00, 90.00, 162.14 degrees
Sites, in units of the cell vectors:
Th 0.0798 0.9202 0.7500
Th 0.9202 0.0798 0.2500
Si 0.4742 0.5258 0.7500
Si 0.5258 0.4742 0.2500
Te 0.1782 0.8218 0.2500
Te 0.8218 0.1782 0.7500

=====

[2]
Material: Pm2DyY3As6
Method: DFT, GGA-PBE
State: optimized geometry

Output
Space group ... C2/m
DFT formation energy ... -1.54 eV per atom

Cell lengths 9.3043, 9.3043, 8.3209 Å; angles 102.90, 102.90, 25.86 degrees
Sites, in units of the cell vectors:
Pm 0.1660 0.1660 0.3324
Pm 0.8340 0.8340 0.6676
Dy 0.5000 0.5000 0.0000
Y 0.1670 0.1670 0.8338
Y 0.5000 0.5000 0.5000
Y 0.8330 0.8330 0.1662
As 0.0018 0.0018 0.7517
As 0.3338 0.3338 0.9216
As 0.3348 0.3348 0.4129
As 0.6652 0.6652 0.5871
As 0.6662 0.6662 0.0784
As 0.9982 0.9982 0.2483

=====

[3]
Material: POs2Br
Method: DFT, GGA-PBE
State: optimized geometry

Output
Space group ... C2/m
Formation energy (no corrections) ... 0.3952 eV/atom
E above lowest polymorph ... 0.00 eV/f.u.

Cell lengths 3.7888, 3.7888, 7.6472 Å; angles 107.98, 107.98, 46.57 degrees
Sites, in units of the cell vectors:
P 0.0000 0.0000 0.0000
Os 0.3482 0.3482 0.1555
Os 0.6518 0.6518 0.8445
Br 0.5000 0.5000 0.5000

=====

[4]
Material: WBr3Cl
Method: DFT, GGA-PBE
State: optimized geometry

Output
Space group ... P2/c
Formation energy (no corrections) ... -0.4575 eV/atom
E above lowest polymorph ... 0.00 eV/f.u.

Cell lengths 8.7696, 9.5613, 12.4602 Å; angles 90.00, 98.12, 90.00 degrees
Sites, in units of the cell vectors:
W 0.0815 0.1395 0.1105
W 0.0815 0.8605 0.6105
W 0.9185 0.1395 0.3895
W 0.9185 0.8605 0.8895
Br 0.0494 0.1368 0.5908
Br 0.0494 0.8632 0.0908
Br 0.1863 0.1212 0.3166
Br 0.1863 0.8788 0.8166
Br 0.3428 0.1168 0.0672
Br 0.3428 0.8832 0.5672
Br 0.6572 0.1168 0.4328
Br 0.6572 0.8832 0.9328
Br 0.8137 0.1212 0.1834
Br 0.8137 0.8788 0.6834
Br 0.9506 0.1368 0.9092
Br 0.9506 0.8632 0.4092
Cl 0.0666 0.3770 0.1126
Cl 0.0666 0.6230 0.6126
Cl 0.9334 0.3770 0.3874
Cl 0.9334 0.6230 0.8874

=====

[5]
Material: Ba2TlGaF8
Method: DFT, GGA-PBE
State: optimized geometry

Output
Space group ... P2/m
Formation energy (no corrections) ... -3.0771 eV/atom

Cell lengths 4.6758, 8.4663, 5.6300 Å; angles 90.00, 100.02, 90.00 degrees
Sites, in units of the cell vectors:
Ba 0.0000 0.2398 0.0000
Ba 0.0000 0.7602 0.0000
Tl 0.5000 0.5000 0.5000
Ga 0.5000 0.0000 0.5000
F 0.0777 0.5000 0.7739
F 0.1237 0.0000 0.3045
F 0.4243 0.1706 0.7192
F 0.4243 0.8294 0.7192
F 0.5757 0.1706 0.2808
F 0.5757 0.8294 0.2808
F 0.8763 0.0000 0.6955
F 0.9223 0.5000 0.2261

=====

[6]
Material: WC2
Method: DFT, GGA-PBE
State: optimized geometry

Output
Space group ... P-31m
DFT formation energy ... 1.66 eV per atom
E above lowest polymorph ... 3.44 eV/f.u.

Cell lengths 5.1551, 5.1551, 4.9875 Å; angles 90.00, 90.00, 120.00 degrees
Sites, in units of the cell vectors:
W 0.0000 0.0000 0.0000
W 0.3333 0.6667 0.5000
W 0.6667 0.3333 0.5000
C 0.0000 0.3074 0.2745
C 0.0000 0.6926 0.7255
C 0.3074 0.0000 0.2745
C 0.3074 0.3074 0.7255
C 0.6926 0.0000 0.7255
C 0.6926 0.6926 0.2745

=====

[7]
Material: HgAsPb3
Method: DFT, GGA-PBE
State: optimized geometry

Output
Space group ... P-1
DFT formation energy ... 0.05 eV per atom
E above lowest polymorph ... 0.00 eV/f.u.

Cell lengths 6.0176, 6.0655, 8.9162 Å; angles 81.66, 73.65, 72.09 degrees
Sites, in units of the cell vectors:
Hg 0.0280 0.0698 0.3137
Hg 0.9720 0.9302 0.6863
As 0.3589 0.5353 0.7755
As 0.6411 0.4647 0.2245
Pb 0.1761 0.5919 0.1238
Pb 0.2803 0.3125 0.5004
Pb 0.4121 0.0156 0.8356
Pb 0.5879 0.9844 0.1644
Pb 0.7197 0.6875 0.4996
Pb 0.8239 0.4081 0.8762

=====

[8]
Material: NpCoPb
Method: DFT, GGA-PBE
State: optimized geometry

Output
Space group ... P4_2/m
DFT formation energy ... 0.38 eV per atom

Cell lengths 9.0715, 9.0715, 3.2287 Å; angles 90.00, 90.00, 90.00 degrees
Sites, in units of the cell vectors:
Np 0.0499 0.8331 0.0000
Np 0.1669 0.0499 0.5000
Np 0.8331 0.9501 0.5000
Np 0.9501 0.1669 0.0000
Co 0.1972 0.6990 0.5000
Co 0.3010 0.1972 0.0000
Co 0.6990 0.8028 0.0000
Co 0.8028 0.3010 0.5000
Pb 0.1789 0.4140 0.5000
Pb 0.4140 0.8211 0.0000
Pb 0.5860 0.1789 0.0000
Pb 0.8211 0.5860 0.5000

=====

[9]
Material: CrSn2HgAu
Method: DFT, GGA-PBE
State: optimized geometry

Output
Space group ... P4/mmm
DFT formation energy ... 0.93 eV per atom

Cell lengths 5.4571, 5.4571, 5.1615 Å; angles 90.00, 90.00, 90.00 degrees
Sites, in units of the cell vectors:
Cr 0.0000 0.0000 0.0000
Sn 0.0000 0.5000 0.5000
Sn 0.5000 0.0000 0.5000
Hg 0.0000 0.0000 0.5000
Au 0.5000 0.5000 0.0000

=====

[10]
Material: LiZrW
Method: DFT, GGA-PBE
State: optimized geometry

Output
Space group ... Imm2
DFT formation energy ... 0.45 eV per atom
E above lowest polymorph ... 0.29 eV/f.u.

Cell lengths 5.1691, 5.1691, 5.1691 Å; angles 146.87, 135.56, 56.54 degrees
Sites, in units of the cell vectors:
Li 0.0000 0.0000 0.0000
Zr 0.3219 0.3219 0.0000
W 0.6533 0.6533 0.0000

=====

[11]
Material: SmCu4Rh
Method: DFT, GGA-PBE
State: optimized geometry

Output
Space group ... F-43m
DFT formation energy ... -0.23 eV per atom

Cell lengths 5.0239, 5.0239, 5.0239 Å; angles 60.00, 60.00, 60.00 degrees
Sites, in units of the cell vectors:
Sm 0.0000 0.0000 0.0000
Cu 0.1289 0.6237 0.6237
Cu 0.6237 0.1289 0.6237
Cu 0.6237 0.6237 0.1289
Cu 0.6237 0.6237 0.6237
Rh 0.2500 0.2500 0.2500

=====

[12]
Material: CaTeBrN2
Method: DFT, GGA-PBE
State: optimized geometry

Output
Space group ... P4/mmm
Formation energy (no corrections) ... 1.3393 eV/atom
E above lowest polymorph ... 0.81 eV/f.u.

Cell lengths 4.4249, 4.4249, 5.6537 Å; angles 90.00, 90.00, 90.00 degrees
Sites, in units of the cell vectors:
Ca 0.0000 0.0000 0.0000
Te 0.5000 0.5000 0.0000
Br 0.5000 0.5000 0.5000
N 0.0000 0.5000 0.5000
N 0.5000 0.0000 0.5000